Entry a
A plane-wave DFT calculation with GGA-PBE was carried out for a geometry-optimized Co2Ni3Rh2 structure.

Properties
Total magnetic moment = 13.505 μB per cell

a = 8.208 Å, b = 3.627 Å, c = 5.726 Å
α = 90.00°, β = 98.01°, γ = 90.00°
Space group C2/m (No. 12)
Inequivalent atoms, fractional coordinates:
Co1 0.072 0.000 0.222 (multiplicity 4)
Ni1 0.000 0.500 0.500 (multiplicity 2)
Ni2 0.214 0.000 0.632 (multiplicity 4)
Rh1 0.141 0.500 0.922 (multiplicity 4)

Entry b
A plane-wave DFT calculation with GGA-PBE was carried out for a geometry-optimized Co2Ni3Rh2 structure.

Properties
Total magnetic moment = 14.354 μB per cell

a = 12.113 Å, b = 2.562 Å, c = 6.293 Å
α = 90.00°, β = 118.52°, γ = 90.00°
Space group C2/m (No. 12)
Inequivalent atoms, fractional coordinates:
Co1 0.135 0.000 0.327 (multiplicity 4)
Ni1 0.000 0.500 0.500 (multiplicity 2)
Ni2 0.068 0.500 0.923 (multiplicity 4)
Rh1 0.204 0.000 0.775 (multiplicity 4)

Verdict on stability: entry a comes out on top.

Entry a
A plane-wave DFT calculation with GGA-PBE was carried out for a geometry-optimized CoNiRh3 structure.

Properties
Total magnetic moment = 31.477 μB per cell

a = 10.926 Å, b = 7.320 Å, c = 8.649 Å
α = 90.00°, β = 128.85°, γ = 90.00°
Space group C2/c (No. 15)
Inequivalent atoms, fractional coordinates:
Co1 0.137 0.204 0.312 (multiplicity 8)
Ni1 0.000 0.155 0.750 (multiplicity 4)
Ni2 0.000 0.495 0.250 (multiplicity 4)
Rh1 0.082 0.334 0.564 (multiplicity 8)
Rh2 0.169 0.001 0.080 (multiplicity 8)
Rh3 0.212 0.358 0.082 (multiplicity 8)

Entry b
A plane-wave DFT calculation with GGA-PBE was carried out for a geometry-optimized CoNiRh3 structure.

Properties
Total magnetic moment = 0.103 μB per cell

a = 4.397 Å, b = 4.397 Å, c = 4.397 Å
α = 90.00°, β = 90.00°, γ = 90.00°
Space group Pm-3m (No. 221)
Inequivalent atoms, fractional coordinates:
Co1 0.000 0.000 0.000 (multiplicity 1)
Ni1 0.500 0.500 0.500 (multiplicity 1)
Rh1 0.000 0.500 0.500 (multiplicity 3)

Entry c
A plane-wave DFT calculation with GGA-PBE was carried out for a geometry-optimized CoNiRh3 structure.

Properties
Total magnetic moment = 4.921 μB per cell

a = 4.422 Å, b = 4.422 Å, c = 4.422 Å
α = 90.00°, β = 90.00°, γ = 90.00°
Space group Pm-3m (No. 221)
Inequivalent atoms, fractional coordinates:
Co1 0.000 0.000 0.000 (multiplicity 1)
Ni1 0.500 0.500 0.500 (multiplicity 1)
Rh1 0.000 0.000 0.500 (multiplicity 3)

Verdict on stability: entry a comes out on top.

Entry a
A plane-wave DFT calculation with GGA-PBE was carried out for a geometry-optimized CoNi5Rh2 structure.

Properties
Total magnetic moment = 13.381 μB per cell

a = 3.657 Å, b = 3.657 Å, c = 14.264 Å
α = 90.00°, β = 90.00°, γ = 90.00°
Space group I4/mmm (No. 139)
Inequivalent atoms, fractional coordinates:
Co1 0.000 0.000 0.000 (multiplicity 2)
Ni1 0.000 0.000 0.500 (multiplicity 2)
Ni2 0.000 0.500 0.118 (multiplicity 8)
Rh1 0.000 0.000 0.252 (multiplicity 4)

Entry b
A plane-wave DFT calculation with GGA-PBE was carried out for a geometry-optimized CoNi5Rh2 structure.

Properties
Total magnetic moment = 14.233 μB per cell

a = 5.141 Å, b = 10.288 Å, c = 3.607 Å
α = 90.00°, β = 90.00°, γ = 90.00°
Space group Pbam (No. 55)
Inequivalent atoms, fractional coordinates:
Co1 0.000 0.000 0.000 (multiplicity 2)
Ni1 0.000 0.500 0.000 (multiplicity 2)
Ni2 0.006 0.248 0.000 (multiplicity 4)
Ni3 0.247 0.625 0.500 (multiplicity 4)
Rh1 0.246 0.875 0.500 (multiplicity 4)

Verdict on stability: entry b comes out on top.

Entry a
A plane-wave DFT calculation with GGA-PBE was carried out for a geometry-optimized CoNi4Rh2 structure.

Properties
Total magnetic moment = 24.779 μB per cell

a = 5.030 Å, b = 7.638 Å, c = 9.385 Å
α = 90.00°, β = 101.84°, γ = 90.00°
Space group Cc (No. 9)
Inequivalent atoms, fractional coordinates:
Co1 0.000 0.229 0.000 (multiplicity 4)
Ni1 0.007 0.201 0.493 (multiplicity 4)
Ni2 0.107 0.492 0.386 (multiplicity 4)
Ni3 0.195 0.217 0.273 (multiplicity 4)
Ni4 0.358 0.495 0.657 (multiplicity 4)
Rh1 0.193 0.218 0.769 (multiplicity 4)
Rh2 0.362 0.015 0.102 (multiplicity 4)

Entry b
A plane-wave DFT calculation with GGA-PBE was carried out for a geometry-optimized CoNi4Rh2 structure.

Properties
Total magnetic moment = 11.818 μB per cell

a = 5.073 Å, b = 5.961 Å, c = 6.623 Å
α = 79.75°, β = 68.90°, γ = 76.95°
Space group P1 (No. 1)
Inequivalent atoms, fractional coordinates:
Co1 0.000 0.000 0.000 (multiplicity 1)
Co2 0.486 0.014 0.023 (multiplicity 1)
Ni1 0.034 0.222 0.287 (multiplicity 1)
Ni2 0.412 0.729 0.849 (multiplicity 1)
Ni3 0.494 0.090 0.644 (multiplicity 1)
Ni4 0.565 0.235 0.258 (multiplicity 1)
Ni5 0.716 0.628 0.129 (multiplicity 1)
Ni6 0.732 0.349 0.870 (multiplicity 1)
Ni7 0.864 0.842 0.370 (multiplicity 1)
Ni8 0.902 0.798 0.755 (multiplicity 1)
Rh1 0.135 0.461 0.516 (multiplicity 1)
Rh2 0.196 0.390 0.902 (multiplicity 1)
Rh3 0.330 0.873 0.427 (multiplicity 1)
Rh4 0.628 0.483 0.527 (multiplicity 1)

Verdict on stability: entry a comes out on top.

Entry a
A plane-wave DFT calculation with GGA-PBE was carried out for a geometry-optimized Co3NiRh structure.

Properties
Total magnetic moment = 13.440 μB per cell

a = 2.581 Å, b = 5.053 Å, c = 9.251 Å
α = 90.00°, β = 97.96°, γ = 90.00°
Space group P2_1/m (No. 11)
Inequivalent atoms, fractional coordinates:
Co1 0.094 0.009 0.189 (multiplicity 4)
Co2 0.320 0.250 0.641 (multiplicity 2)
Ni1 0.498 0.250 0.995 (multiplicity 2)
Rh1 0.301 0.750 0.599 (multiplicity 2)

Entry b
A plane-wave DFT calculation with GGA-PBE was carried out for a geometry-optimized Co3NiRh structure.

Properties
Total magnetic moment = 7.567 μB per cell

a = 4.196 Å, b = 4.196 Å, c = 4.196 Å
α = 90.00°, β = 90.00°, γ = 90.00°
Space group Pm-3m (No. 221)
Inequivalent atoms, fractional coordinates:
Co1 0.000 0.000 0.500 (multiplicity 3)
Ni1 0.000 0.000 0.000 (multiplicity 1)
Rh1 0.500 0.500 0.500 (multiplicity 1)

Entry c
A plane-wave DFT calculation with GGA-PBE was carried out for a geometry-optimized Co3NiRh structure.

Properties
Total magnetic moment = 13.048 μB per cell

a = 4.132 Å, b = 5.003 Å, c = 6.232 Å
α = 90.00°, β = 109.11°, γ = 90.00°
Space group P2_1/m (No. 11)
Inequivalent atoms, fractional coordinates:
Co1 0.100 0.250 0.255 (multiplicity 2)
Co2 0.305 0.003 0.614 (multiplicity 4)
Ni1 0.156 0.750 0.256 (multiplicity 2)
Rh1 0.435 0.250 0.000 (multiplicity 2)

Verdict on stability: entry a comes out on top.

Entry a
A plane-wave DFT calculation with GGA-PBE was carried out for a geometry-optimized Co2Ni7Rh2 structure.

Properties
Total magnetic moment = 9.270 μB per cell

a = 4.565 Å, b = 4.834 Å, c = 6.202 Å
α = 97.86°, β = 99.98°, γ = 95.08°
Space group P1 (No. 1)
Inequivalent atoms, fractional coordinates:
Co1 0.000 0.000 0.000 (multiplicity 1)
Co2 0.262 0.707 0.237 (multiplicity 1)
Ni1 0.025 0.337 0.403 (multiplicity 1)
Ni2 0.131 0.852 0.618 (multiplicity 1)
Ni3 0.240 0.367 0.833 (multiplicity 1)
Ni4 0.468 0.240 0.232 (multiplicity 1)
Ni5 0.478 0.862 0.942 (multiplicity 1)
Ni6 0.784 0.842 0.294 (multiplicity 1)
Ni7 0.797 0.467 0.003 (multiplicity 1)
Rh1 0.584 0.589 0.586 (multiplicity 1)
Rh2 0.679 0.115 0.650 (multiplicity 1)

Entry b
A plane-wave DFT calculation with GGA-PBE was carried out for a geometry-optimized Co2Ni7Rh2 structure.

Properties
Total magnetic moment = 19.461 μB per cell

a = 8.784 Å, b = 7.332 Å, c = 4.335 Å
α = 90.00°, β = 104.17°, γ = 90.00°
Space group C2/m (No. 12)
Inequivalent atoms, fractional coordinates:
Co1 0.247 0.000 0.248 (multiplicity 4)
Ni1 0.000 0.000 0.500 (multiplicity 2)
Ni2 0.038 0.500 0.274 (multiplicity 4)
Ni3 0.228 0.174 0.735 (multiplicity 8)
Rh1 0.000 0.189 0.000 (multiplicity 4)

Verdict on stability: entry a comes out on top.